Here is an optimized crystal structure of InSbHPd4 from Alexandria via LeMat-Bulk. Energies are from PBE-GGA.

The total energy is -4.749 eV/atom.

a b c (Å): 7.442 7.442 5.699
angles (deg): 90.00 90.00 134.97
Sites, in units of the cell vectors:
In1 0.099 0.901 0.750
In2 0.901 0.099 0.250
Sb1 0.399 0.601 0.750
Sb2 0.601 0.399 0.250
H1 0.255 0.745 0.250
H2 0.745 0.255 0.750
Pd1 0.000 0.500 0.000
Pd2 0.000 0.500 0.500
Pd3 0.096 0.904 0.250
Pd4 0.406 0.594 0.250
Pd5 0.500 0.000 0.000
Pd6 0.500 0.000 0.500
Pd7 0.594 0.406 0.750
Pd8 0.904 0.096 0.750

---

Here is an optimized crystal structure of InSb2H2Pd7 from Alexandria via LeMat-Bulk. Energies are from PBE-GGA.

The total energy is -4.858 eV/atom.

a b c (Å): 4.030 4.030 11.470
angles (deg): 100.08 100.08 90.05
Sites, in units of the cell vectors:
In1 0.000 0.000 0.000
Sb1 0.191 0.191 0.384
Sb2 0.809 0.809 0.616
H1 0.416 0.416 0.827
H2 0.584 0.584 0.173
Pd1 0.094 0.594 0.188
Pd2 0.313 0.313 0.626
Pd3 0.406 0.906 0.812
Pd4 0.500 0.500 0.000
Pd5 0.594 0.094 0.188
Pd6 0.687 0.687 0.374
Pd7 0.906 0.406 0.812

---

Size of the total moment for every record listed, in sequence, given in μB per formula unit: 0.000; 0.000.